(1)
Here is crystalline NdGe3Pt at its relaxed geometry from Alexandria via LeMat-Bulk. Energies are from PBE-GGA.

Output
Spin magnetization: 0.000 μB per formula unit
Energy of formation: -0.372 eV per atom

a b c (Å): 4.7796 14.6212 5.8845
angles (deg): 90.00 90.00 90.00
Closest atoms and distances in Å follow each position.
Space group Cmcm (No. 63)
Symmetry-distinct sites (fractional):
Nd1 0.0000 0.0917 0.2500 [4 per cell]  9 Ge 2.97-3.28, 2 Pt 3.31
Ge1 0.0000 0.1172 0.7500 [4 per cell]  2 Pt 2.51
Ge2 0.0000 0.2882 0.5203 [8 per cell]  4 Ge 2.65-2.84, 1 Pt 2.67
Pt1 0.0000 0.4351 0.2500 [4 per cell]  4 Ge 2.51-2.67

(2)
Here is crystalline NdGe2Pt10 at its relaxed geometry from Alexandria via LeMat-Bulk. Energies are from PBE-GGA.

Output
Spin magnetization: 0.000 μB per formula unit
Energy of formation: -0.370 eV per atom

a b c (Å): 5.5026 12.3495 13.2526
angles (deg): 90.00 90.00 90.00
Closest atoms and distances in Å follow each position.
Space group Fmmm (No. 69)
Symmetry-distinct sites (fractional):
Nd1 0.0000 0.0000 0.0000 [4 per cell]  4 Pt 2.97
Ge1 0.2500 0.0000 0.2500 [8 per cell]  8 Pt 2.56-2.67, 2 Ge 2.75
Pt1 0.0000 0.1149 0.3734 [16 per cell]  2 Ge 2.56, 7 Pt 2.74-2.86
Pt2 0.0000 0.1614 0.1660 [16 per cell]  2 Ge 2.67, 6 Pt 2.81-2.86, 1 Nd 2.97
Pt3 0.2500 0.2500 0.0000 [8 per cell]  10 Pt 2.74-2.82

(3)
Here is crystalline Nd3Ge4Pt2 at its relaxed geometry from Alexandria via LeMat-Bulk. Energies are from PBE-GGA.

Output
Spin magnetization: 0.000 μB per formula unit
Energy of formation: -0.970 eV per atom

a b c (Å): 11.2208 4.3493 8.4817
angles (deg): 90.00 102.21 90.00
Closest atoms and distances in Å follow each position.
Space group C2/m (No. 12)
Symmetry-distinct sites (fractional):
Nd1 0.0000 0.0000 0.0000 [2 per cell]  8 Ge 3.20-3.33, 4 Pt 3.23
Nd2 0.1654 0.5000 0.6618 [4 per cell]  4 Pt 3.18-3.33, 8 Ge 3.18-3.39
Ge1 0.0556 0.0000 0.3856 [4 per cell]  2 Pt 2.47, 1 Ge 2.52
Ge2 0.2298 0.5000 0.0706 [4 per cell]  1 Pt 2.46, 2 Ge 2.57
Pt1 0.1046 0.5000 0.2766 [4 per cell]  3 Ge 2.46-2.47

(4)
Here is crystalline Nd5Ge5Pt2 at its relaxed geometry from Alexandria via LeMat-Bulk. Energies are from PBE-GGA.

Output
Spin magnetization: 0.000 μB per formula unit
Energy of formation: -0.883 eV per atom

a b c (Å): 15.5416 4.3571 11.3321
angles (deg): 90.00 130.73 90.00
Closest atoms and distances in Å follow each position.
Space group C2/m (No. 12)
Symmetry-distinct sites (fractional):
Nd1 0.0000 0.0000 0.0000 [2 per cell]  4 Pt 3.11, 6 Ge 3.13-3.37
Nd2 0.1126 0.0000 0.4210 [4 per cell]  3 Pt 3.09-3.12, 7 Ge 3.16-3.26
Nd3 0.1994 0.0000 0.8247 [4 per cell]  5 Ge 3.01-3.17, 1 Pt 3.14
Ge1 0.0000 0.5000 0.5000 [2 per cell]  4 Ge 2.92-3.27, 4 Nd 3.26
Ge2 0.0598 0.5000 0.8350 [4 per cell]  1 Pt 2.58
Ge3 0.2465 0.5000 0.6905 [4 per cell]  2 Pt 2.60
Pt1 0.1415 0.5000 0.2556 [4 per cell]  3 Ge 2.58-2.60

(5)
Here is crystalline Nd3GePt8 at its relaxed geometry from Alexandria via LeMat-Bulk. Energies are from PBE-GGA.

Output
Spin magnetization: 0.000 μB per formula unit
Energy of formation: -0.912 eV per atom

a b c (Å): 5.5145 5.5145 27.0116
angles (deg): 90.00 90.00 120.00
Closest atoms and distances in Å follow each position.
Space group R3m (No. 160, hexagonal axes)
Symmetry-distinct sites (fractional):
Nd1 0.0000 0.0000 0.0000 [3 per cell]  12 Pt 3.05-3.41, 3 Ge 3.18
Nd2 0.0000 0.0000 0.1325 [3 per cell]  12 Pt 3.17-3.25
Nd3 0.0000 0.0000 0.5252 [3 per cell]  9 Pt 3.02-3.33
Ge1 0.0000 0.0000 0.6682 [3 per cell]  3 Pt 2.55
Pt1 0.0000 0.0000 0.3204 [3 per cell]  6 Pt 2.74-2.82
Pt2 0.0000 0.0000 0.8226 [3 per cell]  6 Pt 2.73-2.75
Pt3 0.0083 0.5041 0.0742 [9 per cell]  1 Ge 2.55, 6 Pt 2.69-2.83
Pt4 0.1686 0.3372 0.9041 [9 per cell]  6 Pt 2.73-2.79, 3 Nd 3.02-3.05

(6)
Here is crystalline Nd2GePt at its relaxed geometry from Alexandria via LeMat-Bulk. Energies are from PBE-GGA.

Output
Spin magnetization: 0.000 μB per formula unit
Energy of formation: -0.975 eV per atom

a b c (Å): 5.9886 4.4039 8.2155
angles (deg): 90.00 110.48 90.00
Closest atoms and distances in Å follow each position.
Space group P2_1/m (No. 11)
Symmetry-distinct sites (fractional):
Nd1 0.2206 0.2500 0.4405 [2 per cell]  4 Pt 3.02-3.23, 3 Ge 3.14-3.20
Nd2 0.2257 0.2500 0.9160 [2 per cell]  3 Pt 3.02-3.24, 4 Ge 3.12-3.16
Ge1 0.3291 0.7500 0.2060 [2 per cell]  2 Pt 2.85, 6 Nd 3.12-3.16
Pt1 0.3473 0.7500 0.7094 [2 per cell]  2 Ge 2.85, 5 Nd 3.02-3.19

(7)
Here is crystalline Nd3Ge7Pt2 at its relaxed geometry from Alexandria via LeMat-Bulk. Energies are from PBE-GGA.

Output
Spin magnetization: 0.000 μB per formula unit
Energy of formation: -0.713 eV per atom

a b c (Å): 4.4309 4.3354 13.3165
angles (deg): 90.00 99.13 90.00
Closest atoms and distances in Å follow each position.
Space group P2/m (No. 10)
Symmetry-distinct sites (fractional):
Nd1 0.0000 0.0000 0.0000 [1 per cell]  12 Ge 3.10-3.19
Nd2 0.3101 0.5000 0.6337 [2 per cell]  10 Ge 3.23-3.56, 4 Pt 3.33-3.43
Ge1 0.1539 0.5000 0.1711 [2 per cell]  2 Pt 2.51
Ge2 0.2278 0.0000 0.4515 [2 per cell]  1 Pt 2.46, 2 Ge 2.55-2.56
Ge3 0.4098 0.0000 0.8282 [2 per cell]  2 Pt 2.49-2.57
Ge4 0.5000 0.5000 0.0000 [1 per cell]  6 Ge 2.94-3.13, 4 Nd 3.10
Pt1 0.1243 0.0000 0.2647 [2 per cell]  5 Ge 2.46-2.57

(8)
Here is crystalline Nd2Ge3Pt9 at its relaxed geometry from Alexandria via LeMat-Bulk. Energies are from PBE-GGA.

Output
Spin magnetization: 0.000 μB per formula unit
Energy of formation: -0.751 eV per atom

a b c (Å): 13.6693 7.9041 10.2643
angles (deg): 90.00 117.17 90.00
Closest atoms and distances in Å follow each position.
Space group C2/c (No. 15)
Symmetry-distinct sites (fractional):
Nd1 0.1708 0.0853 0.2503 [8 per cell]  11 Pt 3.00-3.27
Ge1 0.0899 0.2264 0.4968 [8 per cell]  5 Pt 2.50-2.72
Ge2 0.2500 0.2500 0.0000 [4 per cell]  8 Pt 2.57-2.71
Pt1 0.0000 0.3675 0.2500 [4 per cell]  2 Ge 2.52, 2 Pt 2.75
Pt2 0.0604 0.0827 0.9207 [8 per cell]  3 Ge 2.54-2.80, 1 Pt 2.76
Pt3 0.1027 0.3127 0.7380 [8 per cell]  2 Ge 2.50-2.57, 1 Pt 2.76
Pt4 0.1051 0.4100 0.0657 [8 per cell]  3 Ge 2.68-2.94, 5 Pt 2.83-2.94
Pt5 0.2210 0.4197 0.4217 [8 per cell]  3 Ge 2.60-2.72, 2 Pt 2.75-2.80

> What is the energy of formation in the second record?

-0.370 eV per atom